This record from Alexandria via LeMat-Bulk describes a geometry-optimized Tb4NdSm2 structure. The functional is PBE.

Calculated values
The energy comes out at -4.636 eV/atom. The formation energy from the elements comes out at 3.8 kJ/mol of atoms. The energy above the lowest structure with this stoichiometry is 0 meV/atom. The calculation puts the mass density at 7.8 g/cm³.

Cell: 16.889 3.562 8.841 Å, 90.00 119.61 90.00°
Space group C2/m (No. 12)
Inequivalent atoms, fractional coordinates:
Tb 0.144 0.000 0.341 [4 per cell]
Tb 0.206 0.000 0.794 [4 per cell]
Nd 0.000 0.500 0.500 [2 per cell]
Sm 0.070 0.500 0.929 [4 per cell]



This record from Alexandria via LeMat-Bulk describes a geometry-optimized Tb2Nd5Sm3 structure. The functional is PBE.

Calculated values
The energy comes out at -4.549 eV/atom. The formation energy from the elements comes out at 17.1 kJ/mol of atoms. The energy above the lowest structure with this stoichiometry is 0 meV/atom. The calculation puts the mass density at 7.1 g/cm³.

Cell: 10.865 14.946 10.115 Å, 90.00 122.45 90.00°
Space group C2/c (No. 15)
Inequivalent atoms, fractional coordinates:
Tb 0.156 0.126 0.057 [8 per cell]
Nd 0.000 0.021 0.250 [4 per cell]
Nd 0.000 0.228 0.250 [4 per cell]
Nd 0.000 0.479 0.750 [4 per cell]
Nd 0.244 0.126 0.741 [8 per cell]
Sm 0.000 0.270 0.750 [4 per cell]
Sm 0.151 0.375 0.556 [8 per cell]



This record from Alexandria via LeMat-Bulk describes a geometry-optimized Tb5NdSm4 structure. The functional is PBE.

Calculated values
The energy comes out at -4.428 eV/atom. The formation energy from the elements comes out at 24.2 kJ/mol of atoms. The energy above the lowest structure with this stoichiometry is 67 meV/atom. The calculation puts the mass density at 7.5 g/cm³.

Cell: 10.612 10.612 6.044 Å, 90.00 90.00 90.00°
Space group I4mm (No. 107)
Inequivalent atoms, fractional coordinates:
Tb 0.000 0.000 0.000 [2 per cell]
Tb 0.189 0.189 0.261 [8 per cell]
Nd 0.000 0.000 0.530 [2 per cell]
Sm 0.000 0.326 0.782 [8 per cell]



This record from Alexandria via LeMat-Bulk describes a geometry-optimized Tb8Nd6Sm structure. The functional is PBE.

Calculated values
The energy comes out at -4.510 eV/atom. The formation energy from the elements comes out at 17.5 kJ/mol of atoms. The energy above the lowest structure with this stoichiometry is 61 meV/atom. The calculation puts the mass density at 7.5 g/cm³.

Cell: 9.4850 9.4850 6.5401 Å, 90.00 90.00 120.00°
Space group P-3 (No. 147)
Inequivalent atoms, fractional coordinates:
Tb 0.0937 0.4412 0.1622 [6 per cell]
Tb 0.3333 0.6667 0.6249 [2 per cell]
Nd 0.0346 0.2864 0.6679 [6 per cell]
Sm 0.0000 0.0000 0.0000 [1 per cell]



This record from Alexandria via LeMat-Bulk describes a geometry-optimized Tb7Nd12Sm structure. The functional is PBE.

Calculated values
The energy comes out at -4.478 eV/atom. The formation energy from the elements comes out at 23.1 kJ/mol of atoms. The energy above the lowest structure with this stoichiometry is 91 meV/atom. The calculation puts the mass density at 7.1 g/cm³.

Cell: 19.6964 19.6964 6.2542 Å, 90.00 90.00 120.00°
Space group R-3 (No. 148, hexagonal axes)
Inequivalent atoms, fractional coordinates:
Tb 0.0000 0.0000 0.0000 [3 per cell]
Tb 0.0819 0.1642 0.2917 [18 per cell]
Nd 0.9999 0.4121 0.9994 [18 per cell]
Nd 0.0971 0.5482 0.4656 [18 per cell]
Sm 0.0000 0.0000 0.5000 [3 per cell]



This record from Alexandria via LeMat-Bulk describes a geometry-optimized Tb2Nd5Sm3 structure. The functional is PBE.

Calculated values
The energy comes out at -4.389 eV/atom. The formation energy from the elements comes out at 32.5 kJ/mol of atoms. The energy above the lowest structure with this stoichiometry is 160 meV/atom. The calculation puts the mass density at 6.9 g/cm³.

Cell: 13.182 16.772 6.512 Å, 90.00 90.00 90.00°
Space group Ibam (No. 72)
Inequivalent atoms, fractional coordinates:
Tb 0.157 0.245 0.000 [8 per cell]
Nd 0.000 0.000 0.250 [4 per cell]
Nd 0.100 0.342 0.500 [8 per cell]
Nd 0.249 0.500 0.250 [8 per cell]
Sm 0.000 0.500 0.250 [4 per cell]
Sm 0.102 0.158 0.500 [8 per cell]



This record from Alexandria via LeMat-Bulk describes a geometry-optimized Tb6NdSm2 structure. The functional is PBE.

Calculated values
The energy comes out at -4.334 eV/atom. The formation energy from the elements comes out at 31.9 kJ/mol of atoms. The energy above the lowest structure with this stoichiometry is 228 meV/atom. The calculation puts the mass density at 7.6 g/cm³.

Cell: 7.4376 7.4376 19.1323 Å, 90.00 90.00 120.00°
Space group R3m (No. 160, hexagonal axes)
Inequivalent atoms, fractional coordinates:
Tb 0.1748 0.3495 0.0000 [9 per cell]
Tb 0.1892 0.3785 0.1967 [9 per cell]
Nd 0.0000 0.0000 0.1180 [3 per cell]
Sm 0.0000 0.0000 0.6797 [3 per cell]
Sm 0.0000 0.0000 0.8544 [3 per cell]



This record from Alexandria via LeMat-Bulk describes a geometry-optimized Tb6NdSm structure. The functional is PBE.

Calculated values
The energy comes out at -4.640 eV/atom. The formation energy from the elements comes out at 1.8 kJ/mol of atoms. The energy above the lowest structure with this stoichiometry is 0 meV/atom. The calculation puts the mass density at 8.0 g/cm³.

Cell: 5.067 5.067 10.132 Å, 90.00 90.00 90.00°
Space group P4/mmm (No. 123)
Inequivalent atoms, fractional coordinates:
Tb 0.000 0.000 0.000 [1 per cell]
Tb 0.000 0.000 0.500 [1 per cell]
Tb 0.000 0.500 0.249 [4 per cell]
Nd 0.500 0.500 0.500 [1 per cell]
Sm 0.500 0.500 0.000 [1 per cell]



This record from Alexandria via LeMat-Bulk describes a geometry-optimized Tb2Nd2Sm3 structure. The functional is PBE.

Calculated values
The energy comes out at -4.694 eV/atom. The formation energy from the elements comes out at 1.3 kJ/mol of atoms. The energy above the lowest structure with this stoichiometry is 0 meV/atom. The calculation puts the mass density at 7.5 g/cm³.

Cell: 3.629 6.260 10.875 Å, 95.47 90.03 106.71°
Space group P-1 (No. 2)
Inequivalent atoms, fractional coordinates:
Tb 0.071 0.141 0.287 [2 per cell]
Nd 0.215 0.430 0.856 [2 per cell]
Sm 0.357 0.715 0.430 [2 per cell]
Sm 0.500 0.000 0.000 [1 per cell]



This record from Alexandria via LeMat-Bulk describes a geometry-optimized Tb2Nd2Sm5 structure. The functional is PBE.

Calculated values
The energy comes out at -4.508 eV/atom. The formation energy from the elements comes out at 19.5 kJ/mol of atoms. The energy above the lowest structure with this stoichiometry is 104 meV/atom. The calculation puts the mass density at 7.3 g/cm³.

Cell: 15.014 11.961 6.838 Å, 90.00 90.00 90.00°
Space group Ima2 (No. 46)
Inequivalent atoms, fractional coordinates:
Tb 0.000 0.000 0.000 [4 per cell]
Tb 0.250 0.008 0.928 [4 per cell]
Nd 0.127 0.003 0.469 [8 per cell]
Sm 0.053 0.750 0.321 [8 per cell]
Sm 0.143 0.235 0.147 [8 per cell]
Sm 0.250 0.742 0.121 [4 per cell]



This record from Alexandria via LeMat-Bulk describes a geometry-optimized Tb4NdSm6 structure. The functional is PBE.

Calculated values
The energy comes out at -4.389 eV/atom. The formation energy from the elements comes out at 29.2 kJ/mol of atoms. The energy above the lowest structure with this stoichiometry is 0 meV/atom. The calculation puts the mass density at 7.4 g/cm³.

Cell: 6.580 6.580 17.510 Å, 90.00 90.00 90.00°
Space group I-42m (No. 121)
Inequivalent atoms, fractional coordinates:
Tb 0.187 0.187 0.324 [8 per cell]
Nd 0.000 0.000 0.500 [2 per cell]
Sm 0.000 0.500 0.000 [4 per cell]
Sm 0.179 0.179 0.133 [8 per cell]



This record from Alexandria via LeMat-Bulk describes a geometry-optimized TbNd8Sm2 structure. The functional is PBE.

Calculated values
The energy comes out at -4.590 eV/atom. The formation energy from the elements comes out at 15.1 kJ/mol of atoms. The energy above the lowest structure with this stoichiometry is 143 meV/atom. The calculation puts the mass density at 6.9 g/cm³.

Cell: 16.923 6.857 6.793 Å, 90.00 100.59 90.00°
Space group C2/m (No. 12)
Inequivalent atoms, fractional coordinates:
Tb 0.000 0.000 0.000 [2 per cell]
Nd 0.087 0.262 0.405 [8 per cell]
Nd 0.092 0.500 0.914 [4 per cell]
Nd 0.244 0.000 0.317 [4 per cell]
Sm 0.197 0.000 0.807 [4 per cell]